Entry 1:
This record from Alexandria via LeMat-Bulk describes LaN2Cl after structural relaxation. The functional is PBE.

a b c (Å): 4.695 4.695 13.270
angles (deg): 90.00 90.00 90.00
Positions (direct):
La1 0.000 0.000 0.000
La2 0.000 0.500 0.250
La3 0.500 0.000 0.750
La4 0.500 0.500 0.500
N1 0.210 0.250 0.625
N2 0.250 0.710 0.875
N3 0.250 0.790 0.375
N4 0.290 0.250 0.125
N5 0.710 0.750 0.125
N6 0.750 0.210 0.375
N7 0.750 0.290 0.875
N8 0.790 0.750 0.625
Cl1 0.000 0.000 0.500
Cl2 0.000 0.500 0.750
Cl3 0.500 0.000 0.250
Cl4 0.500 0.500 0.000

As for the space group: I-42d, No. 122. The formation energy (no corrections) is 2.76 eV/f.u. As for the excess energy over the best structure of this formula in the dataset: 576 meV/atom. The final energy comes out at -5.1659 eV/atom.

Entry 2:
This record from Alexandria via LeMat-Bulk describes LaN2Cl after structural relaxation. The functional is PBE.

a b c (Å): 6.356 6.356 6.356
angles (deg): 90.00 90.00 90.00
Positions (direct):
La1 0.000 0.000 0.000
La2 0.000 0.500 0.500
La3 0.500 0.000 0.500
La4 0.500 0.500 0.000
N1 0.250 0.250 0.250
N2 0.250 0.250 0.750
N3 0.250 0.750 0.250
N4 0.250 0.750 0.750
N5 0.750 0.250 0.250
N6 0.750 0.250 0.750
N7 0.750 0.750 0.250
N8 0.750 0.750 0.750
Cl1 0.000 0.000 0.500
Cl2 0.000 0.500 0.000
Cl3 0.500 0.000 0.000
Cl4 0.500 0.500 0.500

As for the space group: Fm-3m, No. 225. The formation energy (no corrections) is 1.96 eV/f.u. As for the excess energy over the best structure of this formula in the dataset: 375 meV/atom. The final energy comes out at -5.3668 eV/atom.

Entry 3:
This record from Alexandria via LeMat-Bulk describes La2NCl3 after structural relaxation. The functional is PBE.

a b c (Å): 8.369 8.369 8.369
angles (deg): 130.66 67.69 136.72
Positions (direct):
La1 0.094 0.176 0.270
La2 0.406 0.676 0.083
La3 0.594 0.324 0.917
La4 0.906 0.824 0.730
N1 0.250 0.250 0.000
N2 0.750 0.750 0.000
Cl1 0.199 0.818 0.016
Cl2 0.250 0.750 0.500
Cl3 0.301 0.318 0.619
Cl4 0.699 0.682 0.381
Cl5 0.750 0.250 0.500
Cl6 0.801 0.182 0.984

As for the space group: Ibam, No. 72. The formation energy (no corrections) is -13.32 eV/f.u. The final energy comes out at -6.1739 eV/atom.

Entry 4:
This record from Alexandria via LeMat-Bulk describes La3N2Cl2 after structural relaxation. The functional is PBE.

a b c (Å): 14.053 3.945 7.291
angles (deg): 90.00 120.22 90.00
Positions (direct):
La1 0.000 0.000 0.000
La2 0.220 0.000 0.772
La3 0.280 0.500 0.228
La4 0.500 0.500 0.000
La5 0.720 0.500 0.772
La6 0.780 0.000 0.228
N1 0.182 0.000 0.048
N2 0.318 0.500 0.952
N3 0.682 0.500 0.048
N4 0.818 0.000 0.952
Cl1 0.096 0.500 0.380
Cl2 0.404 0.000 0.620
Cl3 0.596 0.000 0.380
Cl4 0.904 0.500 0.620

As for the space group: C2/m, No. 12. The formation energy (no corrections) is -12.37 eV/f.u. As for the excess energy over the best structure of this formula in the dataset: 0 meV/atom. The final energy comes out at -6.7849 eV/atom.

Entry 5:
This record from Alexandria via LeMat-Bulk describes NaLaNCl after structural relaxation. The functional is PBE.

a b c (Å): 3.862 3.862 21.612
angles (deg): 90.00 90.00 120.00
Positions (direct):
Na1 0.000 0.000 0.000
Na2 0.333 0.667 0.667
Na3 0.667 0.333 0.333
La1 0.000 0.000 0.524
La2 0.333 0.667 0.190
La3 0.667 0.333 0.857
N1 0.000 0.000 0.892
N2 0.333 0.667 0.559
N3 0.667 0.333 0.226
Cl1 0.000 0.000 0.740
Cl2 0.333 0.667 0.406
Cl3 0.667 0.333 0.073

As for the space group: R3m, No. 160. The formation energy (no corrections) is -5.58 eV/f.u. The final energy comes out at -5.5002 eV/atom.

Entry 6:
This record from Alexandria via LeMat-Bulk describes LaNdNCl after structural relaxation. The functional is PBE.

a b c (Å): 3.714 3.714 21.750
angles (deg): 90.00 90.00 120.00
Positions (direct):
La1 0.000 0.000 0.000
La2 0.333 0.667 0.667
La3 0.667 0.333 0.333
Nd1 0.000 0.000 0.792
Nd2 0.333 0.667 0.458
Nd3 0.667 0.333 0.125
N1 0.000 0.000 0.399
N2 0.333 0.667 0.065
N3 0.667 0.333 0.732
Cl1 0.000 0.000 0.225
Cl2 0.333 0.667 0.892
Cl3 0.667 0.333 0.558

As for the space group: R3m, No. 160. The formation energy (no corrections) is -6.21 eV/f.u. The final energy comes out at -6.5188 eV/atom.

Entry 7:
This record from Alexandria via LeMat-Bulk describes La2NdN2Cl2 after structural relaxation. The functional is PBE.

a b c (Å): 4.689 4.689 15.115
angles (deg): 90.00 90.00 90.00
Positions (direct):
La1 0.000 0.000 0.100
La2 0.000 0.000 0.900
La3 0.500 0.500 0.400
La4 0.500 0.500 0.600
Nd1 0.000 0.000 0.500
Nd2 0.500 0.500 0.000
N1 0.000 0.500 0.000
N2 0.000 0.500 0.500
N3 0.500 0.000 0.000
N4 0.500 0.000 0.500
Cl1 0.000 0.000 0.309
Cl2 0.000 0.000 0.691
Cl3 0.500 0.500 0.191
Cl4 0.500 0.500 0.809

As for the space group: I4/mmm, No. 139. The formation energy (no corrections) is -9.90 eV/f.u. The final energy comes out at -6.4092 eV/atom.

Entry 8:
This record from Alexandria via LeMat-Bulk describes La4NiNCl2 after structural relaxation. The functional is PBE.

a b c (Å): 7.035 3.800 7.733
angles (deg): 90.00 108.25 90.00
Positions (direct):
La1 0.202 0.000 0.198
La2 0.255 0.500 0.796
La3 0.745 0.500 0.204
La4 0.798 0.000 0.802
Ni1 0.500 0.000 0.000
N1 0.000 0.500 0.000
Cl1 0.000 0.000 0.500
Cl2 0.500 0.500 0.500

As for the space group: P2/m, No. 10. The formation energy (no corrections) is -9.90 eV/f.u. The final energy comes out at -5.9262 eV/atom.

Entry 9:
This record from Alexandria via LeMat-Bulk describes La8N3Cl4O after structural relaxation. The functional is PBE.

a b c (Å): 8.350 8.350 8.350
angles (deg): 53.70 53.70 53.70
Positions (direct):
La1 0.227 0.732 0.732
La2 0.230 0.230 0.230
La3 0.268 0.268 0.773
La4 0.268 0.773 0.268
La5 0.732 0.227 0.732
La6 0.732 0.732 0.227
La7 0.770 0.770 0.770
La8 0.773 0.268 0.268
N1 0.000 0.000 0.500
N2 0.000 0.500 0.000
N3 0.500 0.000 0.000
Cl1 0.000 0.000 0.000
Cl2 0.000 0.500 0.500
Cl3 0.500 0.000 0.500
Cl4 0.500 0.500 0.000
O1 0.500 0.500 0.500

As for the space group: R-3m, No. 166. The formation energy (no corrections) is -28.18 eV/f.u. The final energy comes out at -6.5573 eV/atom.

Entry 10:
This record from Alexandria via LeMat-Bulk describes La4OsNCl2 after structural relaxation. The functional is PBE.

a b c (Å): 6.773 4.063 7.755
angles (deg): 90.00 106.35 90.00
Positions (direct):
La1 0.227 0.000 0.195
La2 0.229 0.500 0.799
La3 0.771 0.500 0.201
La4 0.773 0.000 0.805
Os1 0.500 0.000 0.000
N1 0.000 0.500 0.000
Cl1 0.000 0.000 0.500
Cl2 0.500 0.500 0.500

As for the space group: P2/m, No. 10. The formation energy (no corrections) is -9.68 eV/f.u. The final energy comes out at -6.5792 eV/atom.

Entry 11:
This record from Alexandria via LeMat-Bulk describes La6OsN2Cl3 after structural relaxation. The functional is PBE.

a b c (Å): 9.427 9.427 8.677
angles (deg): 110.29 110.29 23.88
Positions (direct):
La1 0.022 0.022 0.248
La2 0.317 0.317 0.444
La3 0.338 0.338 0.868
La4 0.662 0.662 0.132
La5 0.683 0.683 0.556
La6 0.978 0.978 0.752
Os1 0.500 0.500 0.000
N1 0.171 0.171 0.340
N2 0.829 0.829 0.660
Cl1 0.165 0.165 0.827
Cl2 0.500 0.500 0.500
Cl3 0.835 0.835 0.173

As for the space group: C2/m, No. 12. The formation energy (no corrections) is -16.07 eV/f.u. The final energy comes out at -6.5877 eV/atom.

Entry 12:
This record from Alexandria via LeMat-Bulk describes La6Os2NCl3 after structural relaxation. The functional is PBE.

a b c (Å): 7.002 7.002 7.918
angles (deg): 98.57 98.57 119.97
Positions (direct):
La1 0.066 0.381 0.198
La2 0.248 0.248 0.803
La3 0.381 0.066 0.198
La4 0.619 0.934 0.802
La5 0.752 0.752 0.197
La6 0.934 0.619 0.802
Os1 0.333 0.667 0.000
Os2 0.667 0.333 0.000
N1 0.000 0.000 0.000
Cl1 0.169 0.831 0.500
Cl2 0.500 0.500 0.500
Cl3 0.831 0.169 0.500

As for the space group: C2/m, No. 12. The formation energy (no corrections) is -13.57 eV/f.u. The final energy comes out at -6.6219 eV/atom.